The following is a DFT calculation (PBE) of HfTe3Cl after structural relaxation.

POSCAR file:
```
HfTe3Cl
1.0
5.515 0.000 0.000
0.000 5.515 0.000
0.000 0.000 5.515
Hf Te Cl
1 3 1
Direct
0.000 0.000 0.000
0.000 0.000 0.500
0.000 0.500 0.000
0.500 0.000 0.000
0.500 0.500 0.500
```

V = 168 Å³ per cell
Magnetization = 0.000 Bohr magnetons per cell
Fermi-level density of states = 7.34 states/eV/cell
Energy above the lowest structure with this stoichiometry = 0.0 kJ per mole of atoms